Record 1
! GGA-PBE CaLaV2, optimized geometry; values from VASP
&SYSTEM
  ibrav = 0, nat = 8, ntyp = 3
/
ATOMIC_SPECIES
V 50.94 V.upf
Ca 40.08 Ca.upf
La 138.91 La.upf
ATOMIC_POSITIONS crystal
V 0.3750 0.3698 0.7500
V 0.8750 0.8802 0.7500
V 0.6302 0.1250 0.2500
V 0.1198 0.6250 0.2500
Ca 0.2500 0.7500 0.5000
Ca 0.5000 0.5000 0.0000
La 0.0000 0.0000 0.0000
La 0.7500 0.2500 0.5000
CELL_PARAMETERS angstrom
8.1998 0.0000 0.0000
0.0000 8.1998 0.0000
4.0999 4.0999 3.1296
! E_form in eV/atom: 1.06
! Theoretical density in Mg/m³: 4.43
! Energy relative to the lowest polymorph listed for this composition in eV/f.u.: 1.35
! Volume in Å³/cell: 210

***

Record 2
! GGA-PBE LiTa2P2, optimized geometry; values from VASP
&SYSTEM
  ibrav = 0, nat = 10, ntyp = 3
/
ATOMIC_SPECIES
Ta 180.95 Ta.upf
P 30.97 P.upf
Li 6.94 Li.upf
ATOMIC_POSITIONS crystal
Ta 0.1506 0.6506 0.5000
Ta 0.3494 0.1506 0.5000
Ta 0.6506 0.8494 0.5000
Ta 0.8494 0.3494 0.5000
P 0.8562 0.6438 0.0000
P 0.1438 0.3562 0.0000
P 0.3562 0.8562 0.0000
P 0.6438 0.1438 0.0000
Li 0.0000 0.0000 0.0000
Li 0.5000 0.5000 0.0000
CELL_PARAMETERS angstrom
6.7897 0.0000 0.0000
0.0000 6.7897 0.0000
0.0000 0.0000 3.2618
! E_form in eV/atom: -0.61
! Theoretical density in Mg/m³: 9.51
! Volume in Å³/cell: 150

***

Record 3
! GGA-PBE SiB3, optimized geometry; values from VASP
&SYSTEM
  ibrav = 0, nat = 8, ntyp = 2
/
ATOMIC_SPECIES
B 10.81 B.upf
Si 28.09 Si.upf
ATOMIC_POSITIONS crystal
B 0.3678 0.5000 0.8372
B 0.6169 0.5000 0.3468
B 0.2831 0.5000 0.1168
B 0.2831 0.0000 0.6168
B 0.3678 0.0000 0.3372
B 0.6169 0.0000 0.8468
Si 0.8296 0.5000 0.1005
Si 0.8296 0.0000 0.6005
CELL_PARAMETERS angstrom
4.5802 0.0000 0.0019
0.0000 2.8845 0.0000
-1.9256 0.0000 5.5528
! Theoretical density in Mg/m³: 2.74
! E_form (uncorrected) in eV per atom: 0.233
! Energy relative to the lowest polymorph listed for this composition in eV/f.u.: 1.10
! Volume in Å³/cell: 73

***

Record 4
! GGA-PBE NdEr2Sb, optimized geometry; values from VASP
&SYSTEM
  ibrav = 0, nat = 4, ntyp = 3
/
ATOMIC_SPECIES
Nd 144.24 Nd.upf
Sb 121.76 Sb.upf
Er 167.26 Er.upf
ATOMIC_POSITIONS crystal
Nd 0.0000 0.0000 0.0000
Sb 0.5000 0.5000 0.5000
Er 0.7500 0.7500 0.7499
Er 0.2500 0.2500 0.2501
CELL_PARAMETERS angstrom
-4.2400 0.1013 3.3256
-4.3819 -2.9274 -1.1303
-1.1907 -4.3300 2.9811
! Theoretical density in Mg/m³: 9.01
! E_form (uncorrected) in eV per atom: -0.228
! Energy relative to the lowest polymorph listed for this composition in eV/f.u.: 1.31
! Volume in Å³/cell: 111

***

Record 5
! GGA-PBE SrSc2N, optimized geometry; values from VASP
&SYSTEM
  ibrav = 0, nat = 8, ntyp = 3
/
ATOMIC_SPECIES
Sc 44.96 Sc.upf
Sr 87.62 Sr.upf
N 14.01 N.upf
ATOMIC_POSITIONS crystal
Sc 0.8750 0.6254 0.7500
Sc 0.3750 0.6246 0.7500
Sc 0.3754 0.1250 0.2500
Sc 0.3746 0.6250 0.2500
Sr 0.0000 0.0000 0.0000
Sr 0.7500 0.2500 0.5000
N 0.2500 0.7500 0.5000
N 0.5000 0.5000 0.0000
CELL_PARAMETERS angstrom
-5.6024 -3.7032 -0.9805
2.0911 -4.4118 4.7144
-4.0255 -1.5192 5.2492
! Theoretical density in Mg/m³: 2.88
! E_form (uncorrected) in eV per atom: -0.650
! Volume in Å³/cell: 221

***

Record 6
! GGA-PBE LaIr2W2, optimized geometry; values from VASP
&SYSTEM
  ibrav = 0, nat = 5, ntyp = 3
/
ATOMIC_SPECIES
W 183.84 W.upf
Ir 192.22 Ir.upf
La 138.91 La.upf
ATOMIC_POSITIONS crystal
W 0.2500 0.7500 0.5000
W 0.7500 0.2500 0.5000
Ir 0.3673 0.3673 0.2653
Ir 0.6327 0.6327 0.7347
La 0.0000 0.0000 0.0000
CELL_PARAMETERS angstrom
4.4828 0.0000 0.0000
0.0000 4.4828 0.0000
2.2414 2.2414 5.1343
! E_form in eV/atom: -0.13
! Theoretical density in Mg/m³: 14.34
! Energy relative to the lowest polymorph listed for this composition in eV/f.u.: 0.00
! Volume in Å³/cell: 103

***

Record 7
! GGA-PBE SmZrNiRh, optimized geometry; values from VASP
&SYSTEM
  ibrav = 0, nat = 4, ntyp = 4
/
ATOMIC_SPECIES
Ni 58.69 Ni.upf
Sm 150.36 Sm.upf
Rh 102.91 Rh.upf
Zr 91.22 Zr.upf
ATOMIC_POSITIONS crystal
Ni 0.2500 0.2500 0.2500
Sm 0.0000 0.0000 0.0000
Rh 0.7500 0.7500 0.7500
Zr 0.5000 0.5000 0.5000
CELL_PARAMETERS angstrom
-0.1638 -3.6118 3.1107
-0.7427 -4.4495 -1.5489
3.5396 -3.1939 0.1344
! E_form in eV/atom: -0.44
! Theoretical density in Mg/m³: 8.73
! Volume in Å³/cell: 77

***

Record 8
! GGA-PBE VTeW2, optimized geometry; values from VASP
&SYSTEM
  ibrav = 0, nat = 8, ntyp = 3
/
ATOMIC_SPECIES
W 183.84 W.upf
Te 127.60 Te.upf
V 50.94 V.upf
ATOMIC_POSITIONS crystal
W 0.3750 0.3823 0.7500
W 0.1323 0.6250 0.2500
W 0.6177 0.1250 0.2500
W 0.8750 0.8677 0.7500
Te 0.0000 0.0000 0.0000
Te 0.7500 0.2500 0.5000
V 0.2500 0.7500 0.5000
V 0.5000 0.5000 0.0000
CELL_PARAMETERS angstrom
3.8440 0.0000 0.0000
0.0000 3.8440 0.0000
1.9220 1.9220 9.9700
! Theoretical density in Mg/m³: 12.31
! E_form (uncorrected) in eV per atom: 0.869
! Volume in Å³/cell: 147

***

Record 9
! GGA-PBE Tb3CuTe, optimized geometry; values from VASP
&SYSTEM
  ibrav = 0, nat = 10, ntyp = 3
/
ATOMIC_SPECIES
Te 127.60 Te.upf
Tb 158.93 Tb.upf
Cu 63.55 Cu.upf
ATOMIC_POSITIONS crystal
Te 0.5883 0.5418 0.1765
Te 0.4117 0.4582 0.8235
Tb 0.8005 0.3722 0.6011
Tb 0.9977 0.2444 0.9954
Tb 0.1995 0.6278 0.3989
Tb 0.6337 0.0754 0.2674
Tb 0.0023 0.7556 0.0046
Tb 0.3663 0.9246 0.7326
Cu 0.7675 0.8911 0.5350
Cu 0.2325 0.1089 0.4650
CELL_PARAMETERS angstrom
3.9065 0.0000 -0.6967
-0.1710 6.1570 -0.9587
-0.0184 -0.0183 11.1969
! Theoretical density in Mg/m³: 8.24
! E_form (uncorrected) in eV per atom: -0.578
! Volume in Å³/cell: 269

***

Record 10
! GGA-PBE SnCI2O, optimized geometry; values from VASP
&SYSTEM
  ibrav = 0, nat = 5, ntyp = 4
/
ATOMIC_SPECIES
I 126.90 I.upf
O 16.00 O.upf
Sn 118.71 Sn.upf
C 12.01 C.upf
ATOMIC_POSITIONS crystal
I 0.5000 0.0000 0.0000
I 0.0000 0.5000 0.0000
O 0.0000 0.0000 0.5000
Sn 0.0000 0.0000 0.0000
C 0.5000 0.5000 0.5000
CELL_PARAMETERS angstrom
5.9516 0.0000 0.0000
0.0000 5.9516 0.0000
0.0000 0.0000 3.9881
! Theoretical density in Mg/m³: 4.71
! E_form (uncorrected) in eV per atom: 1.099
! Energy relative to the lowest polymorph listed for this composition in eV/f.u.: 1.04
! Volume in Å³/cell: 141

***

Record 11
! GGA-PBE ZrTe4As, optimized geometry; values from VASP
&SYSTEM
  ibrav = 0, nat = 6, ntyp = 3
/
ATOMIC_SPECIES
Te 127.60 Te.upf
As 74.92 As.upf
Zr 91.22 Zr.upf
ATOMIC_POSITIONS crystal
Te 0.3755 0.8735 0.3755
Te 0.3755 0.3755 0.3755
Te 0.8735 0.3755 0.3755
Te 0.3755 0.3755 0.8735
As 0.0000 0.0000 0.0000
Zr 0.7500 0.7500 0.7500
CELL_PARAMETERS angstrom
5.0814 -3.0016 1.7375
4.2366 2.8526 3.4296
0.7688 -1.5923 5.8925
! Theoretical density in Mg/m³: 6.82
! E_form (uncorrected) in eV per atom: 0.631
! Energy relative to the lowest polymorph listed for this composition in eV/f.u.: 5.96
! Volume in Å³/cell: 165

***

Record 12
! GGA-PBE ThFe2SiC, optimized geometry; values from VASP
&SYSTEM
  ibrav = 0, nat = 10, ntyp = 4
/
ATOMIC_SPECIES
Th 232.04 Th.upf
Fe 55.84 Fe.upf
C 12.01 C.upf
Si 28.09 Si.upf
ATOMIC_POSITIONS crystal
Th 0.0592 0.9408 0.2500
Th 0.9408 0.0592 0.7500
Fe 0.6636 0.3364 0.9396
Fe 0.3364 0.6636 0.0604
Fe 0.3364 0.6636 0.4396
Fe 0.6636 0.3364 0.5604
C 0.5000 0.5000 0.5000
C 0.5000 0.5000 0.0000
Si 0.7758 0.2242 0.2500
Si 0.2242 0.7758 0.7500
CELL_PARAMETERS angstrom
-4.7588 1.5623 -2.7095
3.2827 -4.5906 0.7606
-3.6693 -1.7205 5.4526
! Theoretical density in Mg/m³: 9.01
! E_form (uncorrected) in eV per atom: -0.500
! Volume in Å³/cell: 142

***

Look up the volume of the third one.
73 Å³/cell